No. 1
The following is a DFT calculation (SCAN) of a PBEsol-optimized structure of LiAuSe.

Summary:
- uncorrected energy (eV/cell) = -371.160
- D(E_F) (states/eV/cell) = 5.6
- formation energy without anion corrections (eV per atom) = -0.39

CIF file:
```
data_LiAuSe
_chemical_formula_sum 'Li4 Au4 Se4'
_space_group_name_H-M_alt 'F -4 3 m'
_space_group_IT_number 216
_space_group_name_Hall 'F -4 2 3'
_cell_length_a 5.899
_cell_length_b 5.899
_cell_length_c 5.899
_cell_angle_alpha 90.00
_cell_angle_beta 90.00
_cell_angle_gamma 90.00
loop_
_atom_site_label
_atom_site_type_symbol
_atom_site_fract_x
_atom_site_fract_y
_atom_site_fract_z
Li1 Li 0.000 0.000 0.000
Au1 Au 0.250 0.250 0.250
Se1 Se 0.250 0.250 0.750
```

No. 2
The following is a DFT calculation (SCAN) of a PBEsol-optimized structure of LiAu3Se.

Summary:
- uncorrected energy (eV/cell) = -227.653
- D(E_F) (states/eV/cell) = 1.3
- formation energy without anion corrections (eV per atom) = 0.46

CIF file:
```
data_LiAu3Se
_chemical_formula_sum 'Li1 Au3 Se1'
_space_group_name_H-M_alt 'P m -3 m'
_space_group_IT_number 221
_space_group_name_Hall '-P 4 2 3'
_cell_length_a 4.440
_cell_length_b 4.440
_cell_length_c 4.440
_cell_angle_alpha 90.00
_cell_angle_beta 90.00
_cell_angle_gamma 90.00
loop_
_atom_site_label
_atom_site_type_symbol
_atom_site_fract_x
_atom_site_fract_y
_atom_site_fract_z
Li1 Li 0.000 0.000 0.000
Au1 Au 0.000 0.000 0.500
Se1 Se 0.500 0.500 0.500
```

No. 3
The following is a DFT calculation (SCAN) of a PBEsol-optimized structure of LiAu2Se2.

Summary:
- uncorrected energy (eV/cell) = -361.700
- D(E_F) (states/eV/cell) = 2.9
- formation energy without anion corrections (eV per atom) = 0.00

CIF file:
```
data_LiAu2Se2
_chemical_formula_sum 'Li2 Au4 Se4'
_space_group_name_H-M_alt 'I 4/m m m'
_space_group_IT_number 139
_space_group_name_Hall '-I 4 2'
_cell_length_a 3.976
_cell_length_b 3.976
_cell_length_c 13.075
_cell_angle_alpha 90.00
_cell_angle_beta 90.00
_cell_angle_gamma 90.00
loop_
_atom_site_label
_atom_site_type_symbol
_atom_site_fract_x
_atom_site_fract_y
_atom_site_fract_z
Li1 Li 0.000 0.000 0.000
Au1 Au 0.000 0.000 0.402
Se1 Se 0.000 0.500 0.250
```

Q: What is the formation energy without anion corrections in the second record?
A: 0.46 eV per atom

Q: Which value of formation energy without anion corrections does entry 2 give?
A: 0.46 eV per atom